# 1
## Ca2Cu (PBE)

Data for a geometry-optimized Ca2Cu structure.

The total moment comes out at 0.000 μB/f.u. The value obtained for the density of states at the Fermi level is 5.46 states/eV/cell. The calculation puts the uncorrected energy at -2.58 eV per atom. Its calculated formation energy is 0.12 eV/atom.

It has space group P6_3/mmc (No. 194), with a = 3.8901 Å, b = 3.8901 Å, c = 15.0341 Å, α = 90.00°, β = 90.00° and γ = 120.00°. The asymmetric unit holds Ca at (0.0000, 0.0000, 0.1249) and Cu at (0.3333, 0.6667, 0.2500).


# 2
## Er4ZnIr2 (PBE)

Data for a geometry-optimized Er4ZnIr2 structure.

The total moment comes out at 0.000 μB/f.u. The value obtained for the density of states at the Fermi level is 15.28 states/eV/cell. The calculation puts the uncorrected energy at -5.98 eV per atom. Its calculated formation energy is -0.66 eV/atom. As for the relative energy among the computed polymorphs: 0.93 kcal/mol of atoms.

It has space group R-3m (No. 166, hexagonal axes), with a = 4.5937 Å, b = 4.5937 Å, c = 28.1289 Å, α = 90.00°, β = 90.00° and γ = 120.00°. The asymmetric unit holds Er at (0.0000, 0.0000, 0.1130), Er at (0.0000, 0.0000, 0.2971), Zn at (0.0000, 0.0000, 0.5000) and Ir at (0.0000, 0.0000, 0.4069).


# 3
## SiBi2Pd6 (PBE)

Data for a geometry-optimized SiBi2Pd6 structure.

The total moment comes out at 0.000 μB/f.u. The calculation puts the energy relative to the elements, uncorrected at -336 meV/atom. The value obtained for the density of states at the Fermi level is 6.24 states/eV/cell. The calculation puts the uncorrected energy at -5.26 eV per atom.

It has space group C2/m (No. 12), with a = 12.957 Å, b = 7.297 Å, c = 3.845 Å, α = 90.00°, β = 107.11° and γ = 90.00°. The asymmetric unit holds Si at (0.000, 0.000, 0.000), Bi at (0.148, 0.500, 0.649), Pd at (0.000, 0.198, 0.500) and Pd at (0.163, 0.207, 0.163).


# 4
## ErNiC2 (PBE)

Data for a geometry-optimized ErNiC2 structure.

The total moment comes out at 0.000 μB/f.u. The value obtained for the density of states at the Fermi level is 2.48 states/eV/cell. The calculation puts the uncorrected energy at -7.54 eV per atom. Its calculated formation energy is -0.34 eV/atom.

It has space group Amm2 (No. 38), with a = 3.531 Å, b = 4.509 Å, c = 5.982 Å, α = 90.00°, β = 90.00° and γ = 90.00°. The asymmetric unit holds Er at (0.000, 0.000, 0.000), Ni at (0.500, 0.000, 0.389) and C at (0.500, 0.153, 0.700).


# 5
## SrIrW4 (PBE)

Data for a geometry-optimized SrIrW4 structure.

The total moment comes out at 0.000 μB/f.u. The value obtained for the density of states at the Fermi level is 25.71 states/eV/cell. The calculation puts the uncorrected energy at -9.63 eV per atom. Its calculated formation energy is 0.76 eV/atom.

It has space group F-43m (No. 216), with a = 7.655 Å, b = 7.655 Å, c = 7.655 Å, α = 90.00°, β = 90.00° and γ = 90.00°. The asymmetric unit holds Sr at (0.000, 0.000, 0.000), Ir at (0.250, 0.250, 0.250) and W at (0.126, 0.126, 0.626).


# 6
## LaPdCl2 (PBE)

Data for a geometry-optimized LaPdCl2 structure.

The total moment comes out at 0.000 μB/f.u. The calculation puts the energy relative to the elements, uncorrected at -1183 meV/atom. The value obtained for the density of states at the Fermi level is 30.89 states/eV/cell. The calculation puts the uncorrected energy at -4.64 eV per atom. As for the relative energy among the computed polymorphs: 0.00 kcal/mol of atoms.

It has space group Fm-3m (No. 225), with a = 6.999 Å, b = 6.999 Å, c = 6.999 Å, α = 90.00°, β = 90.00° and γ = 90.00°. The asymmetric unit holds La at (0.000, 0.000, 0.000), Pd at (0.000, 0.000, 0.500) and Cl at (0.250, 0.250, 0.250).


# 7
## CaEuCdAg (PBE)

Data for a geometry-optimized CaEuCdAg structure.

The total moment comes out at 7.255 μB/f.u. The value obtained for the density of states at the Fermi level is 39.74 states/eV/cell. The calculation puts the uncorrected energy at -4.32 eV per atom. Its calculated formation energy is -0.31 eV/atom.

It has space group F-43m (No. 216), with a = 7.656 Å, b = 7.656 Å, c = 7.656 Å, α = 90.00°, β = 90.00° and γ = 90.00°. The asymmetric unit holds Ca at (0.000, 0.000, 0.000), Eu at (0.000, 0.000, 0.500), Cd at (0.250, 0.250, 0.750) and Ag at (0.250, 0.250, 0.250).


# 8
## CaNiHg2 (PBE)

Data for a geometry-optimized CaNiHg2 structure.

The total moment comes out at 0.000 μB/f.u. The value obtained for the density of states at the Fermi level is 1.56 states/eV/cell. The calculation puts the uncorrected energy at -2.19 eV per atom. Its calculated formation energy is -0.09 eV/atom.

It has space group P4mm (No. 99), with a = 3.537 Å, b = 3.537 Å, c = 6.966 Å, α = 90.00°, β = 90.00° and γ = 90.00°. The asymmetric unit holds Ca at (0.000, 0.000, 0.000), Ni at (0.500, 0.500, 0.722), Hg at (0.000, 0.000, 0.570) and Hg at (0.500, 0.500, 0.295).